{"formula": "Mo3AuF", "functional": "PBE with a Hubbard U", "state": "relaxed", "dos_ef_per_ev_fu": 3.42, "magnetic_moment_mub_per_cell": 0.0, "polymorph_energy_mev_per_atom": 0, "sg": "Pm-3m, No. 221", "lattice": [[4.262, 0.000, 0.000], [0.000, 4.262, 0.000], [0.000, 0.000, 4.262]], "species": ["F", "Mo", "Mo", "Au", "Mo"], "frac_coords": [[0.000, 0.000, 0.000], [0.500, 0.000, 0.000], [0.000, 0.500, 0.000], [0.500, 0.500, 0.500], [0.000, 0.000, 0.500]]}